Record 1
VASP calculation (PBEsol) on a geometry-optimized ScTa2Mn structure.

Properties
**ΔE_f**: 0.29 eV per atom
**Symmetry**: No. 160
**N(E_F)**: 4.8 states/eV per cell
**Excess energy over the best structure of this formula in the dataset**: 0.227 eV per atom
**Total energy**: -40.30 eV for the cell shown

Cell: 8.8878 8.8878 8.8878 Å, 19.42 19.42 19.42°
Closest atoms and distances in Å follow each position.
Sites, in units of the cell vectors:
Sc  0.0000  0.0000  0.0000  3 Mn 2.70, 6 Sc 3.00
Ta  0.2364  0.2364  0.2364  9 Ta 2.93-3.00, 3 Sc 3.07
Ta  0.4795  0.4795  0.4795  3 Mn 2.47
Mn  0.7457  0.7457  0.7457  3 Ta 2.47, 3 Sc 2.70

=====

Record 2
VASP calculation (PBEsol) on a geometry-optimized ScMn4Tc structure.

Properties
**ΔE_f**: -0.03 eV per atom
**Symmetry**: No. 216
**N(E_F)**: 9.1 states/eV per cell
**Total energy**: -57.09 eV for the cell shown

Cell: 4.7115 4.7115 4.7115 Å, 60.00 60.00 60.00°
Closest atoms and distances in Å follow each position.
Sites, in units of the cell vectors:
Sc  0.0000  0.0000  0.0000  12 Mn 2.76, 4 Tc 2.89
Mn  0.1211  0.6263  0.6263  6 Mn 2.33-2.38
Mn  0.6263  0.1211  0.6263  6 Mn 2.33-2.38
Mn  0.6263  0.6263  0.1211  6 Mn 2.33-2.38
Mn  0.6263  0.6263  0.6263  6 Mn 2.33-2.38
Tc  0.2500  0.2500  0.2500  12 Mn 2.77, 4 Sc 2.89

=====

Record 3
VASP calculation (PBEsol) on a geometry-optimized ScMnTc2 structure.

Properties
**ΔE_f**: 0.01 eV per atom
**Symmetry**: No. 99
**N(E_F)**: 2.4 states/eV per cell
**Excess energy over the best structure of this formula in the dataset**: 0.000 eV per atom
**Total energy**: -38.85 eV for the cell shown

Cell: 3.0083 3.0083 6.3155 Å, 90.00 90.00 90.00°
Closest atoms and distances in Å follow each position.
Sites, in units of the cell vectors:
Sc  0.0000  0.0000  0.0000  4 Mn 2.70, 4 Tc 2.77, 4 Sc 3.01
Mn  0.5000  0.5000  0.7376  4 Tc 2.53, 4 Sc 2.70
Tc  0.0000  0.0000  0.5200  4 Mn 2.53, 4 Tc 2.61
Tc  0.5000  0.5000  0.2799  4 Tc 2.61, 4 Sc 2.77, 1 Mn 2.89

=====

Record 4
VASP calculation (PBEsol) on a geometry-optimized ScMnTc2 structure.

Properties
**ΔE_f**: 0.28 eV per atom
**Symmetry**: No. 160
**N(E_F)**: 4.5 states/eV per cell
**Excess energy over the best structure of this formula in the dataset**: 0.269 eV per atom
**Total energy**: -37.77 eV for the cell shown

Cell: 8.7785 8.7785 8.7785 Å, 18.30 18.30 18.30°
Closest atoms and distances in Å follow each position.
Sites, in units of the cell vectors:
Sc  0.0000  0.0000  0.0000  3 Mn 2.70, 6 Sc 2.79, 3 Tc 2.90
Mn  0.7504  0.7504  0.7504  3 Tc 2.54, 3 Sc 2.70, 6 Mn 2.79
Tc  0.2400  0.2400  0.2400  9 Tc 2.63-2.79, 3 Sc 2.90
Tc  0.4929  0.4929  0.4929  3 Mn 2.54, 9 Tc 2.63-2.79

=====

Record 5
VASP calculation (PBEsol) on a geometry-optimized ScMnTc2 structure.

Properties
**ΔE_f**: 0.03 eV per atom
**Symmetry**: No. 71
**N(E_F)**: 3.9 states/eV per cell
**Excess energy over the best structure of this formula in the dataset**: 0.018 eV per atom
**Total energy**: -38.77 eV for the cell shown

Cell: 5.0523 5.0523 5.0523 Å, 145.48 128.27 63.69°
Closest atoms and distances in Å follow each position.
Sites, in units of the cell vectors:
Sc  0.0000  0.0000  0.0000  4 Mn 2.67, 8 Tc 2.73-2.98
Mn  0.5000  0.5000  0.0000  4 Tc 2.51, 4 Sc 2.67
Tc  0.2656  0.7656  0.5000  2 Mn 2.51, 4 Tc 2.68, 2 Sc 2.73
Tc  0.7344  0.2344  0.5000  2 Mn 2.51, 4 Tc 2.68, 2 Sc 2.73

=====

Record 6
VASP calculation (PBEsol) on a geometry-optimized ScMnTc2 structure.

Properties
**ΔE_f**: 0.22 eV per atom
**Symmetry**: No. 123
**N(E_F)**: 5.4 states/eV per cell
**Excess energy over the best structure of this formula in the dataset**: 0.208 eV per atom
**Total energy**: -38.02 eV for the cell shown

Cell: 3.6613 3.6613 4.4042 Å, 90.00 90.00 90.00°
Closest atoms and distances in Å follow each position.
Sites, in units of the cell vectors:
Sc  0.0000  0.0000  0.0000  4 Mn 2.59, 8 Tc 2.86
Mn  0.5000  0.5000  0.0000  4 Sc 2.59, 8 Tc 2.86
Tc  0.0000  0.5000  0.5000  4 Tc 2.59, 4 Mn 2.86, 4 Sc 2.86
Tc  0.5000  0.0000  0.5000  4 Tc 2.59, 4 Mn 2.86, 4 Sc 2.86

=====

Record 7
VASP calculation (PBEsol) on a geometry-optimized ScMn2Tc structure.

Properties
**ΔE_f**: 0.17 eV per atom
**Symmetry**: No. 47
**N(E_F)**: 4.0 states/eV per cell
**Excess energy over the best structure of this formula in the dataset**: 0.057 eV per atom
**Total energy**: -36.72 eV for the cell shown

Cell: 3.0988 4.1874 4.3310 Å, 90.00 90.00 90.00°
Closest atoms and distances in Å follow each position.
Sites, in units of the cell vectors:
Sc  0.0000  0.0000  0.0000  4 Tc 2.60, 4 Mn 2.66
Mn  0.0000  0.5000  0.5000  4 Mn 2.60, 4 Tc 2.66
Mn  0.5000  0.0000  0.5000  4 Mn 2.60, 4 Sc 2.66
Tc  0.5000  0.5000  0.0000  4 Sc 2.60, 4 Mn 2.66

=====

Record 8
VASP calculation (PBEsol) on a geometry-optimized ScMn2Tc structure.

Properties
**ΔE_f**: 0.11 eV per atom
**Symmetry**: No. 44
**N(E_F)**: 4.4 states/eV per cell
**Excess energy over the best structure of this formula in the dataset**: 0.000 eV per atom
**Total energy**: -36.95 eV for the cell shown

Cell: 4.9966 4.9966 4.9966 Å, 145.66 128.82 63.09°
Closest atoms and distances in Å follow each position.
Sites, in units of the cell vectors:
Sc  0.0000  0.0000  0.0000  8 Mn 2.61-2.90, 4 Tc 2.74-2.91
Mn  0.5008  0.5008  0.0000  2 Mn 2.43, 2 Tc 2.45, 4 Sc 2.61
Mn  0.7282  0.2282  0.5000  2 Mn 2.43, 4 Tc 2.64
Tc  0.2708  0.7708  0.5000  6 Mn 2.45-2.64, 2 Sc 2.74

=====

Record 9
VASP calculation (PBEsol) on a geometry-optimized Sc2MnTlTe structure.

Properties
**Symmetry**: No. 123
**N(E_F)**: 7.1 states/eV per cell
**Total energy**: -24.11 eV for the cell shown
**Uncorrected formation energy**: 1.003 eV per atom

Cell: 5.2987 5.2987 5.7388 Å, 90.00 90.00 90.00°
Closest atoms and distances in Å follow each position.
Sites, in units of the cell vectors:
Sc  0.0000  0.5000  0.0000  2 Tl 2.65
Sc  0.5000  0.0000  0.0000  2 Tl 2.65
Mn  0.0000  0.0000  0.5000  4 Te 3.75, 8 Sc 3.91
Tl  0.5000  0.5000  0.0000  4 Sc 2.65, 2 Te 2.87
Te  0.5000  0.5000  0.5000  2 Tl 2.87

=====

Record 10
VASP calculation (PBEsol) on a geometry-optimized Sc2MnTl structure.

Properties
**ΔE_f**: 0.09 eV per atom
**Symmetry**: No. 99
**N(E_F)**: 4.1 states/eV per cell
**Total energy**: -25.26 eV for the cell shown

Cell: 3.2458 3.2458 7.6793 Å, 90.00 90.00 90.00°
Closest atoms and distances in Å follow each position.
Sites, in units of the cell vectors:
Sc  0.0000  0.0000  0.0000  4 Tl 3.08, 8 Sc 3.25-3.27
Sc  0.5000  0.5000  0.3027  4 Mn 2.81
Mn  0.0000  0.0000  0.5145  4 Sc 2.81, 4 Tl 2.85
Tl  0.5000  0.5000  0.7335  4 Mn 2.85, 4 Sc 3.08

=====

Record 11
VASP calculation (PBEsol) on a geometry-optimized Sc2MnTl structure.

Properties
**ΔE_f**: -0.13 eV per atom
**Symmetry**: No. 123
**N(E_F)**: 4.0 states/eV per cell
**Total energy**: -26.12 eV for the cell shown

Cell: 3.2486 3.2486 7.1183 Å, 90.00 90.00 90.00°
Closest atoms and distances in Å follow each position.
Sites, in units of the cell vectors:
Sc  0.0000  0.0000  0.2071  4 Mn 2.73, 1 Sc 2.95
Sc  0.0000  0.0000  0.7929  4 Mn 2.73, 1 Sc 2.95
Mn  0.5000  0.5000  0.0000  8 Sc 2.73
Tl  0.5000  0.5000  0.5000  8 Sc 3.10, 4 Tl 3.25

=====

Record 12
VASP calculation (PBEsol) on a geometry-optimized Sc2MnTl structure.

Properties
**ΔE_f**: 0.02 eV per atom
**Symmetry**: No. 44
**N(E_F)**: 4.4 states/eV per cell
**Total energy**: -25.54 eV for the cell shown

Cell: 5.7812 5.7812 5.7812 Å, 146.23 131.21 60.65°
Closest atoms and distances in Å follow each position.
Sites, in units of the cell vectors:
Sc  0.0000  0.0000  0.0000  2 Mn 2.83, 4 Tl 2.96
Sc  0.7171  0.2171  0.5000  4 Mn 2.92, 2 Tl 3.15, 2 Sc 3.22
Mn  0.2285  0.7285  0.5000  2 Tl 2.78, 6 Sc 2.83-2.92
Tl  0.4506  0.4506  0.0000  2 Mn 2.78, 4 Sc 2.96

=====

Number 5 is which compound?
ScMnTc2